This record from OQMD via LeMat-Bulk describes a relaxed structure of HoAgSnTe3. The functional is PBE.

a = 4.4902 Å, b = 12.5788 Å, c = 12.6182 Å
α = 90.00°, β = 90.00°, γ = 90.00°
Closest atoms and distances in Å follow each position.
Fractional positions:
Ag: 0.7500 0.7625 0.1972  4 Te 2.75-2.83
Ag: 0.7500 0.2625 0.3028  4 Te 2.75-2.83
Ag: 0.2500 0.7375 0.6972  4 Te 2.75-2.83
Ag: 0.2500 0.2375 0.8028  4 Te 2.75-2.83
Ho: 0.2500 0.4758 0.1863  6 Te 3.09-3.25
Ho: 0.2500 0.9758 0.3137  6 Te 3.09-3.25
Ho: 0.7500 0.0242 0.6863  6 Te 3.09-3.25
Ho: 0.7500 0.5242 0.8137  6 Te 3.09-3.25
Sn: 0.2500 0.8190 0.0080  5 Te 3.16-3.38, 2 Ag 3.35
Sn: 0.2500 0.3190 0.4920  5 Te 3.16-3.38, 2 Ag 3.35
Sn: 0.7500 0.6810 0.5080  5 Te 3.16-3.38, 2 Ag 3.35
Sn: 0.7500 0.1810 0.9920  5 Te 3.16-3.38, 2 Ag 3.35
Te: 0.7500 0.5898 0.0630  1 Ag 2.75
Te: 0.7500 0.9743 0.1350  1 Ag 2.78
Te: 0.2500 0.2257 0.1708  2 Ag 2.83, 1 Ho 3.15
Te: 0.2500 0.7257 0.3292  2 Ag 2.83, 1 Ho 3.15
Te: 0.7500 0.4743 0.3650  1 Ag 2.78
Te: 0.7500 0.0898 0.4370  1 Ag 2.75
Te: 0.2500 0.9102 0.5630  1 Ag 2.75
Te: 0.2500 0.5257 0.6350  1 Ag 2.78
Te: 0.7500 0.2743 0.6708  2 Ag 2.83, 1 Ho 3.15
Te: 0.7500 0.7743 0.8292  2 Ag 2.83, 1 Ho 3.15
Te: 0.2500 0.0257 0.8650  1 Ag 2.78
Te: 0.2500 0.4102 0.9370  1 Ag 2.75

Summary:
V: 29.695 Å³ per atom
distance to the lowest polymorph of the same formula: 64 meV/atom
final energy: -24.4 eV per formula unit

This record from OQMD via LeMat-Bulk describes a relaxed structure of MgFe2As. The functional is PBE.

a = 5.8778 Å, b = 5.8778 Å, c = 5.8778 Å
α = 90.00°, β = 90.00°, γ = 90.00°
Closest atoms and distances in Å follow each position.
Fractional positions:
As: 0.0000 0.0000 0.0000  8 Fe 2.36
As: 0.5000 0.0000 0.0000  8 Fe 2.49
As: 0.0000 0.5000 0.0000  8 Fe 2.49
As: 0.0000 0.0000 0.5000  8 Fe 2.49
Fe: 0.2315 0.2315 0.2315  4 As 2.36-2.49, 3 Mg 2.61
Fe: 0.7685 0.2315 0.2315  4 As 2.36-2.49, 3 Mg 2.61
Fe: 0.2315 0.7685 0.2315  4 As 2.36-2.49, 3 Mg 2.61
Fe: 0.7685 0.7685 0.2315  4 As 2.36-2.49, 3 Mg 2.61
Fe: 0.2315 0.2315 0.7685  4 As 2.36-2.49, 3 Mg 2.61
Fe: 0.7685 0.2315 0.7685  4 As 2.36-2.49, 3 Mg 2.61
Fe: 0.2315 0.7685 0.7685  4 As 2.36-2.49, 3 Mg 2.61
Fe: 0.7685 0.7685 0.7685  4 As 2.36-2.49, 3 Mg 2.61
Mg: 0.5000 0.5000 0.0000  8 Fe 2.61
Mg: 0.5000 0.0000 0.5000  8 Fe 2.61
Mg: 0.0000 0.5000 0.5000  8 Fe 2.61
Mg: 0.5000 0.5000 0.5000  8 Fe 2.73, 6 Mg 2.94

Summary:
V: 12.692 Å³ per atom
final energy: -22.3 eV per formula unit

This record from OQMD via LeMat-Bulk describes a relaxed structure of Sc3Ni2. The functional is PBE.

a = 6.1661 Å, b = 6.1661 Å, c = 6.7735 Å
α = 117.08°, β = 62.92°, γ = 120.00°
Closest atoms and distances in Å follow each position.
Fractional positions:
Ni: 0.3181 0.6819 0.0458  1 Ni 2.35, 6 Sc 2.57-2.63
Ni: 0.1819 0.8181 0.4542  1 Ni 2.35, 6 Sc 2.57-2.63
Ni: 0.8181 0.1819 0.5458  1 Ni 2.35, 6 Sc 2.57-2.63
Ni: 0.6819 0.3181 0.9542  1 Ni 2.35, 6 Sc 2.57-2.63
Sc: 0.2500 0.1306 0.2500  4 Ni 2.57-2.63
Sc: 0.8694 0.3694 0.2500  4 Ni 2.57-2.63
Sc: 0.6306 0.7500 0.2500  4 Ni 2.57-2.63
Sc: 0.3694 0.2500 0.7500  4 Ni 2.57-2.63
Sc: 0.1306 0.6306 0.7500  4 Ni 2.57-2.63
Sc: 0.7500 0.8694 0.7500  4 Ni 2.57-2.63

Summary:
V: 18.974 Å³ per atom
distance to the lowest polymorph of the same formula: 108 meV/atom
ΔE_f: -0.293 eV per atom
final energy: -31.6 eV per formula unit